{"formula": "NaSiTe2N", "functional": "GGA-PBEsol", "state": "relaxed", "total_energy_ev_per_cell": -15.69, "formation_energy_uncorrected_kj_per_mol_atoms": 136, "cell": [[-1.443, -1.300, 3.683], [-3.660, -3.141, -2.543], [3.572, -4.119, -0.055]], "species": ["Na", "Si", "Te", "Te", "N"], "frac_coords": [[0.000, 0.000, 0.000], [0.500, 0.500, 0.500], [0.000, 0.000, 0.500], [0.000, 0.500, 0.000], [0.500, 0.000, 0.000]]}